1.
## TaCrIn2S (PBE-GGA)

Data for an optimized crystal structure of TaCrIn2S.

Computed properties:
Final energy: -5.2587 eV/atom

a = 5.049 Å, b = 5.049 Å, c = 4.139 Å
α = 90.00°, β = 90.00°, γ = 90.00°
Space group P4/mmm (No. 123)
Unique sites:
1 Ta 0.000 0.000 0.000 x1
2 Cr 0.500 0.500 0.000 x1
3 In 0.000 0.500 0.500 x2
4 S 0.500 0.500 0.500 x1

2.
## BaLi2SbO4 (PBE-GGA)

Data for an optimized crystal structure of BaLi2SbO4.

Computed properties:
Final energy: -5.5737 eV/atom

a = 5.658 Å, b = 5.658 Å, c = 7.499 Å
α = 90.00°, β = 90.00°, γ = 90.00°
Space group I-42m (No. 121)
Unique sites:
1 Ba 0.000 0.000 0.000 x2
2 Li 0.000 0.500 0.250 x4
3 Sb 0.000 0.000 0.500 x2
4 O 0.202 0.202 0.663 x8

3.
## SbSO2 (PBE-GGA)

Data for an optimized crystal structure of SbSO2.

Computed properties:
E above lowest polymorph: 0.0 meV/atom

a = 3.3943 Å, b = 3.3943 Å, c = 19.1447 Å
α = 90.00°, β = 90.00°, γ = 120.00°
Space group R-3m (No. 166, hexagonal axes)
Unique sites:
1 Sb 0.0000 0.0000 0.0000 x3
2 S 0.0000 0.0000 0.5000 x3
3 O 0.0000 0.0000 0.3985 x6

4.
## YZr5Sc12 (PBE-GGA)

Data for an optimized crystal structure of YZr5Sc12.

Computed properties:
DFT formation energy: 24 meV per atom

a = 5.649 Å, b = 9.783 Å, c = 15.928 Å
α = 90.00°, β = 96.61°, γ = 90.00°
Space group C2/m (No. 12)
Unique sites:
1 Y 0.000 0.000 0.000 x2
2 Zr 0.000 0.166 0.500 x4
3 Zr 0.000 0.333 0.000 x4
4 Zr 0.000 0.500 0.500 x2
5 Sc 0.103 0.500 0.832 x4
6 Sc 0.115 0.171 0.832 x8
7 Sc 0.220 0.000 0.660 x4
8 Sc 0.220 0.333 0.660 x8

5.
## YSi2H (PBE-GGA)

Data for an optimized crystal structure of YSi2H.

Computed properties:
E above lowest polymorph: 536.4 meV/atom

a = 6.588 Å, b = 6.588 Å, c = 6.588 Å
α = 90.00°, β = 90.00°, γ = 90.00°
Space group Fm-3m (No. 225)
Unique sites:
1 Y 0.000 0.000 0.000 x4
2 Si 0.250 0.250 0.250 x8
3 H 0.000 0.000 0.500 x4

6.
## Mn3BeRu (PBE-GGA)

Data for an optimized crystal structure of Mn3BeRu.

Computed properties:
DFT formation energy: 675 meV per atom
E above lowest polymorph: 0.0 meV/atom

a = 3.850 Å, b = 3.850 Å, c = 3.850 Å
α = 90.00°, β = 90.00°, γ = 90.00°
Space group Pm-3m (No. 221)
Unique sites:
1 Mn 0.000 0.000 0.500 x3
2 Be 0.000 0.000 0.000 x1
3 Ru 0.500 0.500 0.500 x1

Number 1: magnetic moment 0.00 μB per cell. Number 2: magnetic moment 0.00 μB per cell. Number 3: magnetic moment 0.00 μB per cell. Number 4: magnetic moment 0.00 μB per cell. Number 5: magnetic moment 1.07 μB per cell. Number 6: magnetic moment 2.04 μB per cell.